Entry 1:
# Tb5Dy4Pu, relaxed, DFT PBE-GGA
# energy above the most stable polymorph in this dataset	13	meV/atom
# energy of formation	266	meV per atom
data_Tb5Dy4Pu
_chemical_formula_sum 'Tb10 Dy8 Pu2'
_cell_length_a 17.6600
_cell_length_b 4.9091
_cell_length_c 8.6424
_cell_angle_alpha 90.00
_cell_angle_beta 116.93
_cell_angle_gamma 90.00
_symmetry_space_group_name_H-M 'C 1 2/m 1'
_symmetry_Int_Tables_number 12
_symmetry_space_group_name_Hall '-C 2y'
loop_
_atom_site_label
_atom_site_fract_x
_atom_site_fract_y
_atom_site_fract_z
Tb1 0.0000 0.0000 0.0000
Tb2 0.1626 0.5000 0.7078
Tb3 0.1721 0.5000 0.1183
Dy1 0.0292 0.5000 0.2796
Dy2 0.1756 0.0000 0.4260
Pu1 0.0000 0.0000 0.5000


Entry 2:
# Tl6Se2I, relaxed, DFT PBE-GGA
# energy above the most stable polymorph in this dataset	0	meV/atom
data_Tl6Se2I
_chemical_formula_sum 'Tl24 Se8 I4'
_cell_length_a 12.7224
_cell_length_b 12.6560
_cell_length_c 8.0468
_cell_angle_alpha 90.00
_cell_angle_beta 105.05
_cell_angle_gamma 90.00
_symmetry_space_group_name_H-M 'C 1 2/c 1'
_symmetry_Int_Tables_number 15
_symmetry_space_group_name_Hall '-C 2yc'
loop_
_atom_site_label
_atom_site_fract_x
_atom_site_fract_y
_atom_site_fract_z
Tl1 0.0726 0.1174 0.0082
Tl2 0.1299 0.4040 0.8850
Tl3 0.2110 0.1764 0.6562
Se1 0.2128 0.0363 0.3399
I1 0.0000 0.3411 0.2500


Entry 3:
# KBe2InOs, relaxed, DFT PBE-GGA
# energy of formation	2637	meV per atom
data_KBe2InOs
_chemical_formula_sum 'K1 Be2 In1 Os1'
_cell_length_a 4.5883
_cell_length_b 4.5883
_cell_length_c 4.8281
_cell_angle_alpha 90.00
_cell_angle_beta 90.00
_cell_angle_gamma 90.00
_symmetry_space_group_name_H-M 'P 4/m m m'
_symmetry_Int_Tables_number 123
_symmetry_space_group_name_Hall '-P 4 2'
loop_
_atom_site_label
_atom_site_fract_x
_atom_site_fract_y
_atom_site_fract_z
K1 0.0000 0.0000 0.0000
Be1 0.0000 0.5000 0.0000
In1 0.5000 0.5000 0.5000
Os1 0.0000 0.0000 0.5000


Record-wise ρ values, in g/cm³: 8.39 8.02 5.92
Record-wise spin magnetization values, in Bohr magnetons per cell: 12.1 0.0 0.0